(1)
The following is a DFT calculation (PBE-GGA) of a relaxed structure of BeIr2Se.

Properties
Energy above the most stable polymorph in this dataset = 162 meV per atom
SG = P4/mmm (123)

POSCAR file:
```
BeIr2Se
1.0
-1.811 -1.011 2.183
0.387 -3.982 -1.524
3.398 -0.636 2.525
Se Be Ir
1 1 2
Cartesian
-0.712 -2.497 0.329
0.794 -0.824 2.354
0.000 0.000 0.000
1.893 -2.309 0.500
```

(2)
The following is a DFT calculation (PBE-GGA) of a relaxed structure of DyCrSi2.

Properties
SG = R-3m (166)

POSCAR file:
```
DyCrSi2
1.0
4.048 0.000 0.000
2.024 3.506 0.000
2.024 1.169 4.960
Si Dy Cr
2 1 1
Cartesian
6.072 3.506 4.229
2.024 1.169 0.731
4.048 2.337 2.480
0.000 0.000 0.000
```

The following spin magnetization values (in μB per cell) correspond, in order, to the records above: 0.000 1.952.
The following mass density values (in g/cm3) correspond, in order, to the records above: 14.2 6.4.
The following energy relative to the elements, uncorrected values (in eV/atom) correspond, in order, to the records above: 0.20 -0.40.